1.
CdIn2Sn2: optimized geometry, PBE-GGA.

a = 8.543 Å, b = 8.543 Å, c = 3.856 Å
α = 90.00°, β = 90.00°, γ = 90.00°
Fractional positions:
Cd1 0.000 0.000 0.000
Cd2 0.500 0.500 0.000
Sn1 0.356 0.856 0.000
Sn2 0.856 0.644 0.000
Sn3 0.644 0.144 0.000
Sn4 0.144 0.356 0.000
In1 0.154 0.654 0.500
In2 0.654 0.846 0.500
In3 0.846 0.346 0.500
In4 0.346 0.154 0.500

Summary:
Spin magnetization, μB per cell: 0.0
Raw total energy, eV/atom: -2.769


2.
Cd2In3Sn4: optimized geometry, PBE-GGA.

a = 9.032 Å, b = 7.072 Å, c = 9.032 Å
α = 90.19°, β = 120.34°, γ = 89.81°
Fractional positions:
Cd1 0.004 0.295 0.549
Cd2 0.549 0.205 0.004
Cd3 0.996 0.705 0.451
Cd4 0.451 0.795 0.996
In1 0.969 0.033 0.221
In2 0.221 0.467 0.969
In3 0.031 0.967 0.779
In4 0.779 0.533 0.031
In5 0.563 0.250 0.563
In6 0.437 0.750 0.437
Sn1 0.155 0.428 0.278
Sn2 0.278 0.072 0.155
Sn3 0.845 0.572 0.722
Sn4 0.722 0.928 0.845
Sn5 0.698 0.005 0.359
Sn6 0.359 0.495 0.698
Sn7 0.302 0.995 0.641
Sn8 0.641 0.505 0.302

Summary:
Spin magnetization, μB per cell: 0.0
Raw total energy, eV/atom: -2.822


3.
Cd6In5Sn: optimized geometry, PBE-GGA.

a = 4.680 Å, b = 8.624 Å, c = 8.624 Å
α = 103.99°, β = 105.89°, γ = 105.89°
Fractional positions:
In1 0.500 0.169 0.831
In2 0.000 0.335 0.665
In3 0.500 0.500 0.500
In4 0.000 0.665 0.335
In5 0.500 0.831 0.169
Sn1 0.000 0.000 0.000
Cd1 0.249 0.084 0.417
Cd2 0.751 0.583 0.916
Cd3 0.748 0.250 0.250
Cd4 0.252 0.750 0.750
Cd5 0.249 0.417 0.084
Cd6 0.751 0.916 0.583

Summary:
Spin magnetization, μB per cell: 0.0
Raw total energy, eV/atom: -1.894


4.
Cd15In2Sn2: optimized geometry, PBE-GGA.

a = 7.834 Å, b = 7.834 Å, c = 7.834 Å
α = 84.42°, β = 84.42°, γ = 84.42°
Fractional positions:
Cd1 0.000 0.500 0.000
Cd2 0.000 0.000 0.500
Cd3 0.500 0.000 0.000
Cd4 0.307 0.000 0.693
Cd5 0.693 0.307 0.000
Cd6 0.000 0.693 0.307
Cd7 0.307 0.693 0.000
Cd8 0.000 0.307 0.693
Cd9 0.693 0.000 0.307
Cd10 0.357 0.835 0.357
Cd11 0.357 0.357 0.835
Cd12 0.835 0.357 0.357
Cd13 0.643 0.165 0.643
Cd14 0.643 0.643 0.165
Cd15 0.165 0.643 0.643
In1 0.649 0.649 0.649
In2 0.351 0.351 0.351
Sn1 0.895 0.895 0.895
Sn2 0.105 0.105 0.105

Summary:
Spin magnetization, μB per cell: 0.0
Raw total energy, eV/atom: -1.372


5.
Cd2In5Sn5: optimized geometry, PBE-GGA.

a = 4.298 Å, b = 7.948 Å, c = 10.521 Å
α = 69.41°, β = 78.22°, γ = 74.31°
Fractional positions:
Cd1 0.917 0.424 0.743
Cd2 0.083 0.576 0.257
In1 0.832 0.831 0.504
In2 0.246 0.753 0.756
In3 0.754 0.247 0.244
In4 0.168 0.169 0.496
In5 0.000 0.000 0.000
Sn1 0.500 0.500 0.500
Sn2 0.337 0.340 0.986
Sn3 0.421 0.907 0.252
Sn4 0.579 0.093 0.748
Sn5 0.663 0.660 0.014

Summary:
Spin magnetization, μB per cell: 0.0
Raw total energy, eV/atom: -2.916


6.
CdIn14Sn: optimized geometry, PBE-GGA.

a = 7.141 Å, b = 7.141 Å, c = 8.578 Å
α = 90.00°, β = 90.00°, γ = 90.00°
Fractional positions:
Cd1 0.375 0.375 0.500
In1 0.875 0.875 0.000
In2 0.375 0.375 0.000
In3 0.875 0.375 0.500
In4 0.875 0.375 0.000
In5 0.375 0.875 0.500
In6 0.375 0.875 0.000
In7 0.622 0.128 0.252
In8 0.622 0.128 0.748
In9 0.128 0.622 0.252
In10 0.128 0.622 0.748
In11 0.622 0.622 0.252
In12 0.622 0.622 0.748
In13 0.128 0.128 0.252
In14 0.128 0.128 0.748
Sn1 0.875 0.875 0.500

Summary:
Spin magnetization, μB per cell: 0.0
Raw total energy, eV/atom: -2.685


7.
Cd2In3Sn2: optimized geometry, PBE-GGA.

a = 4.441 Å, b = 6.233 Å, c = 7.147 Å
α = 95.06°, β = 90.00°, γ = 110.87°
Fractional positions:
Cd1 0.146 0.292 0.428
Cd2 0.854 0.708 0.572
In1 0.285 0.571 0.851
In2 0.000 0.000 0.000
In3 0.715 0.429 0.149
Sn1 0.570 0.141 0.705
Sn2 0.430 0.859 0.295

Summary:
Spin magnetization, μB per cell: 0.0
Raw total energy, eV/atom: -2.535


8.
Cd5In3Sn3: optimized geometry, PBE-GGA.

a = 4.309 Å, b = 9.363 Å, c = 9.363 Å
α = 120.00°, β = 89.96°, γ = 90.02°
Fractional positions:
Cd1 0.500 0.667 0.333
Cd2 0.500 0.333 0.667
Cd3 0.500 0.369 0.000
Cd4 0.500 0.631 0.631
Cd5 0.500 0.000 0.369
In1 0.000 0.585 0.000
In2 0.000 0.000 0.585
In3 0.000 0.415 0.415
Sn1 0.500 0.810 0.000
Sn2 0.500 0.190 0.190
Sn3 0.500 0.000 0.810

Summary:
Spin magnetization, μB per cell: 0.0
Raw total energy, eV/atom: -2.097


9.
Cd7In3Sn: optimized geometry, PBE-GGA.

a = 5.847 Å, b = 7.824 Å, c = 7.824 Å
α = 91.52°, β = 113.76°, γ = 113.76°
Fractional positions:
Cd1 0.219 0.172 0.172
Cd2 0.324 0.073 0.589
Cd3 0.676 0.411 0.927
Cd4 0.324 0.589 0.073
Cd5 0.000 0.500 0.500
Cd6 0.676 0.927 0.411
Cd7 0.781 0.828 0.828
In1 0.000 0.762 0.238
In2 0.500 0.000 0.000
In3 0.000 0.238 0.762
Sn1 0.500 0.500 0.500

Summary:
Spin magnetization, μB per cell: 0.0
Raw total energy, eV/atom: -1.599


10.
Cd7In2Sn2: optimized geometry, PBE-GGA.

a = 5.520 Å, b = 7.254 Å, c = 7.254 Å
α = 83.38°, β = 96.04°, γ = 96.04°
Fractional positions:
Cd1 0.728 0.045 0.398
Cd2 0.272 0.602 0.955
Cd3 0.272 0.955 0.602
Cd4 0.728 0.398 0.045
Cd5 0.500 0.000 0.000
Cd6 0.264 0.546 0.546
Cd7 0.736 0.454 0.454
In1 0.000 0.198 0.802
In2 0.000 0.802 0.198
Sn1 0.238 0.254 0.254
Sn2 0.762 0.746 0.746

Summary:
Spin magnetization, μB per cell: 0.0
Raw total energy, eV/atom: -1.734


11.
CdIn2Sn3: optimized geometry, PBE-GGA.

a = 6.121 Å, b = 6.121 Å, c = 10.121 Å
α = 99.06°, β = 99.06°, γ = 116.94°
Fractional positions:
Cd1 0.625 0.875 0.750
Cd2 0.375 0.125 0.250
In1 0.214 0.963 0.925
In2 0.537 0.286 0.575
In3 0.786 0.037 0.075
In4 0.463 0.714 0.425
Sn1 0.953 0.207 0.410
Sn2 0.293 0.547 0.090
Sn3 0.047 0.793 0.590
Sn4 0.707 0.453 0.910
Sn5 0.124 0.376 0.750
Sn6 0.876 0.624 0.250

Summary:
Spin magnetization, μB per cell: 0.0
Raw total energy, eV/atom: -3.023


Number 1: mass density 6.839 Mg/m³, E_form 0.110 eV/atom, V 28.140 Å³ per atom. Number 2: mass density 6.964 Mg/m³, E_form 0.073 eV/atom, V 27.661 Å³ per atom. Number 3: mass density 7.505 Mg/m³, E_form 0.038 eV/atom, V 25.208 Å³ per atom. Number 4: mass density 7.538 Mg/m³, E_form 0.061 eV/atom, V 24.964 Å³ per atom. Number 5: mass density 7.191 Mg/m³, E_form 0.045 eV/atom, V 26.794 Å³ per atom. Number 6: mass density 6.979 Mg/m³, E_form 0.019 eV/atom, V 27.341 Å³ per atom. Number 7: mass density 7.279 Mg/m³, E_form 0.043 eV/atom, V 26.290 Å³ per atom. Number 8: mass density 6.410 Mg/m³, E_form 0.158 eV/atom, V 29.737 Å³ per atom. Number 9: mass density 7.105 Mg/m³, E_form 0.094 eV/atom, V 26.558 Å³ per atom. Number 10: mass density 7.289 Mg/m³, E_form 0.074 eV/atom, V 25.971 Å³ per atom. Number 11: mass density 7.193 Mg/m³, E_form 0.044 eV/atom, V 26.862 Å³ per atom.